Record 1
Compound: BaSrY2O
Source: Alexandria via LeMat-Bulk
Functional: PBE
Structure: optimized geometry

Results
* uncorrected formation energy: 0.35 eV/atom
* density: 3.4 g/cm³
* space group: P4/mmm
* crystal system: tetragonal

a b c (Å): 6.6574 6.6574 4.6156
angles (deg): 90.00 90.00 90.00
With the nearest neighbours (Å) after each atom.
Fractional coordinates of all 5 atoms:
Ba 0.0000 0.0000 0.0000  2 O 2.31
Sr 0.5000 0.5000 0.5000  8 Y 4.05
Y 0.0000 0.5000 0.0000  2 Ba 3.33
Y 0.5000 0.0000 0.0000  2 Ba 3.33
O 0.0000 0.0000 0.5000  2 Ba 2.31

Record 2
Compound: BaSrY4O8
Source: Alexandria via LeMat-Bulk
Functional: PBE
Structure: optimized geometry

Results
* uncorrected formation energy: -3.28 eV/atom
* density: 5.4 g/cm³
* space group: Pmc2_1
* crystal system: orthorhombic

a b c (Å): 3.4629 12.1554 10.3550
angles (deg): 90.00 90.00 90.00
With the nearest neighbours (Å) after each atom.
Fractional coordinates of all 28 atoms:
Ba 0.0000 0.1000 0.0000  8 O 2.73-2.92
Ba 0.0000 0.9000 0.5000  8 O 2.73-2.92
Sr 0.5000 0.3980 0.5075  7 O 2.63-2.84
Sr 0.5000 0.6020 0.0075  7 O 2.63-2.84
Y 0.0000 0.1431 0.3291  6 O 2.28-2.36
Y 0.0000 0.3628 0.8305  6 O 2.23-2.37
Y 0.0000 0.6372 0.3305  6 O 2.23-2.37
Y 0.0000 0.8569 0.8291  6 O 2.28-2.36
Y 0.5000 0.1436 0.6748  6 O 2.27-2.39
Y 0.5000 0.3660 0.1800  6 O 2.24-2.37
Y 0.5000 0.6340 0.6800  6 O 2.24-2.37
Y 0.5000 0.8564 0.1748  6 O 2.27-2.39
O 0.0000 0.0336 0.7343  3 Y 2.27-2.36
O 0.0000 0.2738 0.6303  3 Y 2.34-2.39
O 0.0000 0.3303 0.3312  3 Y 2.28-2.37
O 0.0000 0.4223 0.0436  3 Y 2.32-2.34
O 0.0000 0.5777 0.5436  3 Y 2.32-2.34
O 0.0000 0.6697 0.8312  3 Y 2.28-2.37
O 0.0000 0.7262 0.1303  3 Y 2.34-2.39
O 0.0000 0.9664 0.2343  3 Y 2.27-2.36
O 0.5000 0.0899 0.4628  3 Y 2.29-2.31
O 0.5000 0.1796 0.1837  3 Y 2.27-2.34
O 0.5000 0.2341 0.8708  3 Y 2.31-2.37
O 0.5000 0.4664 0.7695  3 Y 2.23-2.24
O 0.5000 0.5336 0.2695  3 Y 2.23-2.24
O 0.5000 0.7659 0.3708  3 Y 2.31-2.37
O 0.5000 0.8204 0.6837  3 Y 2.27-2.34
O 0.5000 0.9101 0.9628  3 Y 2.29-2.31

Record 3
Compound: BaSrYb4O8
Source: Alexandria via LeMat-Bulk
Functional: PBE
Structure: optimized geometry

Results
* uncorrected formation energy: -2.75 eV/atom
* density: 8.1 g/cm³
* space group: Pmc2_1
* crystal system: orthorhombic

a b c (Å): 3.4398 12.0981 10.2793
angles (deg): 90.00 90.00 90.00
With the nearest neighbours (Å) after each atom.
Fractional coordinates of all 28 atoms:
Ba 0.0000 0.0973 0.0000  8 O 2.73-2.89
Ba 0.0000 0.9027 0.5000  8 O 2.73-2.89
Sr 0.5000 0.4021 0.5081  8 O 2.63-2.94
Sr 0.5000 0.5979 0.0081  8 O 2.63-2.94
Yb 0.0000 0.1433 0.3279  6 O 2.28-2.35
Yb 0.0000 0.3608 0.8324  6 O 2.23-2.33
Yb 0.0000 0.6392 0.3324  6 O 2.23-2.33
Yb 0.0000 0.8567 0.8279  6 O 2.28-2.35
Yb 0.5000 0.1460 0.6731  6 O 2.26-2.36
Yb 0.5000 0.3658 0.1821  6 O 2.23-2.35
Yb 0.5000 0.6342 0.6821  6 O 2.23-2.35
Yb 0.5000 0.8540 0.1731  6 O 2.26-2.36
O 0.0000 0.0340 0.7346  3 Yb 2.28-2.35
O 0.0000 0.2745 0.6311  3 Yb 2.32-2.36
O 0.0000 0.3317 0.3332  3 Yb 2.28-2.35
O 0.0000 0.4245 0.0424  3 Yb 2.29-2.35
O 0.0000 0.5755 0.5424  3 Yb 2.29-2.35
O 0.0000 0.6683 0.8332  3 Yb 2.28-2.35
O 0.0000 0.7255 0.1311  3 Yb 2.32-2.36
O 0.0000 0.9660 0.2346  3 Yb 2.28-2.35
O 0.5000 0.0892 0.4638  3 Yb 2.26-2.31
O 0.5000 0.1793 0.1826  3 Yb 2.26-2.32
O 0.5000 0.2344 0.8705  3 Yb 2.29-2.33
O 0.5000 0.4654 0.7685  3 Yb 2.23
O 0.5000 0.5346 0.2685  3 Yb 2.23
O 0.5000 0.7656 0.3705  3 Yb 2.29-2.33
O 0.5000 0.8207 0.6826  3 Yb 2.26-2.32
O 0.5000 0.9108 0.9638  3 Yb 2.26-2.31

Record 4
Compound: Ba2SrYb6O12
Source: Alexandria via LeMat-Bulk
Functional: PBE
Structure: optimized geometry

Results
* uncorrected formation energy: -2.71 eV/atom
* density: 8.1 g/cm³
* space group: P-6
* crystal system: hexagonal

a b c (Å): 10.3845 10.3845 3.4751
angles (deg): 90.00 90.00 120.00
With the nearest neighbours (Å) after each atom.
Fractional coordinates of all 21 atoms:
Ba 0.0000 0.0000 0.0000  6 O 2.71
Ba 0.3333 0.6667 0.0000  9 O 2.90-3.00
Sr 0.6667 0.3333 0.5000  6 O 2.54
Yb 0.3368 0.0134 0.5000  6 O 2.25-2.38
Yb 0.3384 0.3241 0.0000  6 O 2.24-2.40
Yb 0.6759 0.0143 0.0000  6 O 2.24-2.40
Yb 0.6766 0.6632 0.5000  6 O 2.25-2.38
Yb 0.9857 0.6616 0.0000  6 O 2.24-2.40
Yb 0.9866 0.3234 0.5000  6 O 2.25-2.38
O 0.0653 0.5692 0.5000  3 Yb 2.26-2.33
O 0.1346 0.3469 0.0000  3 Yb 2.24-2.25
O 0.2123 0.8654 0.0000  3 Yb 2.24-2.25
O 0.2263 0.1557 0.5000  3 Yb 2.28-2.32
O 0.4308 0.4960 0.5000  3 Yb 2.26-2.33
O 0.4673 0.1864 0.0000  3 Yb 2.38-2.40, 2 Sr 2.54
O 0.5040 0.9347 0.5000  3 Yb 2.26-2.33
O 0.6531 0.7877 0.0000  3 Yb 2.24-2.25
O 0.7192 0.5327 0.0000  3 Yb 2.38-2.40, 2 Sr 2.54
O 0.8136 0.2808 0.0000  3 Yb 2.38-2.40, 2 Sr 2.54
O 0.8443 0.0706 0.5000  3 Yb 2.28-2.32
O 0.9294 0.7737 0.5000  3 Yb 2.28-2.32